Entry 1:
La8Co3Pt2: relaxed, PBE-GGA.

Cell: 15.023 7.994 6.905 Å, 90.00 108.17 90.00°
Space group C2/m (No. 12)
Inequivalent atoms, fractional coordinates:
La 0.107 0.000 0.413
La 0.110 0.500 0.412
La 0.116 0.263 0.906
Co 0.000 0.244 0.500
Co 0.000 0.500 0.000
Pt 0.242 0.000 0.168

---

Entry 2:
HfAlNiOs: relaxed, PBE-GGA.

Cell: 6.225 6.225 6.225 Å, 90.00 90.00 90.00°
Space group F-43m (No. 216)
Inequivalent atoms, fractional coordinates:
Hf 0.000 0.000 0.000
Al 0.000 0.000 0.500
Ni 0.250 0.250 0.750
Os 0.250 0.250 0.250

---

Number 1: formation energy -5.241 eV/f.u.. Number 2: formation energy -2.270 eV/f.u..